# Ta2Ti2NbC5, relaxed, DFT PBE
# total magnetization: 0.000 μB/atom
# theoretical density: 9296 kg/m³
# D(E_F): 13.77 states/eV per cell
# calculated formation energy: -659 meV/atom
data_Ta2Ti2NbC5
_space_group_name_H-M_alt 'R 3 m'
_space_group_IT_number 160
_space_group_name_Hall 'R 3 -2"'
_cell_length_a 3.1398
_cell_length_b 3.1398
_cell_length_c 38.3232
_cell_angle_alpha 90.00
_cell_angle_beta 90.00
_cell_angle_gamma 120.00
loop_
_atom_site_label
_atom_site_type_symbol
_atom_site_fract_x
_atom_site_fract_y
_atom_site_fract_z
Ta1 Ta 0.0000 0.0000 0.0000
Ta2 Ta 0.0000 0.0000 0.4018
Ti1 Ti 0.0000 0.0000 0.1986
Ti2 Ti 0.0000 0.0000 0.8015
Nb1 Nb 0.0000 0.0000 0.5982
C1 C 0.0000 0.0000 0.1015
C2 C 0.0000 0.0000 0.2999
C3 C 0.0000 0.0000 0.4998
C4 C 0.0000 0.0000 0.7008
C5 C 0.0000 0.0000 0.8978